[1]
First-principles (PBE-GGA) data for a relaxed structure of V2RhSe6, as listed in the Alexandria database. Values from VASP.

Structure (Quantum ESPRESSO input):
```
&SYSTEM
  ibrav = 0, nat = 9, ntyp = 3
/
ATOMIC_SPECIES
V 50.94 V.upf
Rh 102.91 Rh.upf
Se 78.96 Se.upf
CELL_PARAMETERS angstrom
3.3379 0.0000 -0.7648
-0.5337 7.2924 -2.3293
0.1629 -0.6175 8.3772
ATOMIC_POSITIONS crystal
V 0.8293 0.6560 0.6586
V 0.1707 0.3440 0.3414
Rh 0.5000 0.0000 0.0000
Se 0.3361 0.9017 0.6722
Se 0.0066 0.2426 0.0132
Se 0.6679 0.5791 0.3358
Se 0.9934 0.7574 0.9868
Se 0.6639 0.0983 0.3278
Se 0.3321 0.4209 0.6642
```

Summary:
**Magnetic moment**: 1.7 μB/f.u.
**Space group**: C2/m
**Mass density**: 5.6 g/cm3
**Volume**: 22.2 Å³ per atom
**N(E_F)**: 5.83 states/eV/f.u.
**Energy relative to the elements, uncorrected**: -0.5567 eV/atom
**ΔE to the lowest computed polymorph**: 0 meV/atom

=====

[2]
First-principles (PBE-GGA) data for a relaxed structure of SeBr3O, as listed in the Alexandria database. Values from VASP.

Structure (Quantum ESPRESSO input):
```
&SYSTEM
  ibrav = 0, nat = 20, ntyp = 3
/
ATOMIC_SPECIES
Se 78.96 Se.upf
Br 79.90 Br.upf
O 16.00 O.upf
CELL_PARAMETERS angstrom
7.6196 0.0000 0.0000
0.0000 3.0285 -3.5845
0.0000 -1.4581 32.3493
ATOMIC_POSITIONS crystal
Se 0.3334 0.4721 0.1119
Se 0.6666 0.5279 0.8881
Se 0.8334 0.5279 0.3881
Se 0.1666 0.4721 0.6119
Br 0.8862 0.8050 0.2706
Br 0.1138 0.1950 0.7294
Br 0.3862 0.1950 0.2294
Br 0.6138 0.8050 0.7706
Br 0.4962 0.4408 0.4014
Br 0.5038 0.5592 0.5986
Br 0.9962 0.5592 0.0986
Br 0.0038 0.4408 0.9014
Br 0.8351 0.3379 0.5649
Br 0.1649 0.6621 0.4351
Br 0.3351 0.6621 0.9351
Br 0.6649 0.3379 0.0649
O 0.8254 0.9303 0.3985
O 0.1746 0.0697 0.6015
O 0.3254 0.0697 0.1015
O 0.6746 0.9303 0.8985
```

Summary:
**Magnetic moment**: 0.0 μB/f.u.
**Space group**: P2_1/c
**Mass density**: 3.1 g/cm3
**Volume**: 35.3 Å³ per atom
**N(E_F)**: 1.53 states/eV/f.u.
**Energy relative to the elements, uncorrected**: -0.1692 eV/atom
**ΔE to the lowest computed polymorph**: 0 meV/atom

=====

[3]
First-principles (PBE-GGA) data for a relaxed structure of PuCdTe2, as listed in the Alexandria database. Values from VASP.

Structure (Quantum ESPRESSO input):
```
&SYSTEM
  ibrav = 0, nat = 4, ntyp = 3
/
ATOMIC_SPECIES
Cd 112.41 Cd.upf
Te 127.60 Te.upf
Pu 244.00 Pu.upf
CELL_PARAMETERS angstrom
-0.9327 -3.6977 -1.0378
4.8912 -1.5166 1.0077
-1.3410 -1.0466 4.9341
ATOMIC_POSITIONS crystal
Cd 0.5000 0.0000 0.0000
Te 0.0000 0.0000 0.5000
Te 0.0000 0.5000 0.0000
Pu 0.5000 0.5000 0.5000
```

Summary:
**Magnetic moment**: 5.2 μB/f.u.
**Space group**: P4/mmm
**Mass density**: 9.4 g/cm3
**Volume**: 26.9 Å³ per atom
**N(E_F)**: 8.93 states/eV/f.u.
**Energy relative to the elements, uncorrected**: -0.5845 eV/atom
**ΔE to the lowest computed polymorph**: 4 meV/atom

=====

[4]
First-principles (PBE-GGA) data for a relaxed structure of TmPaRu, as listed in the Alexandria database. Values from VASP.

Structure (Quantum ESPRESSO input):
```
&SYSTEM
  ibrav = 0, nat = 3, ntyp = 3
/
ATOMIC_SPECIES
Ru 101.07 Ru.upf
Pa 231.04 Pa.upf
Tm 168.93 Tm.upf
CELL_PARAMETERS angstrom
3.2315 0.0000 0.0000
0.0000 4.7635 0.0000
0.0000 -2.3817 4.1253
ATOMIC_POSITIONS crystal
Ru 0.3051 0.6667 0.3333
Pa 0.0416 0.0000 0.0000
Tm 0.6533 0.3333 0.6667
```

Summary:
**Magnetic moment**: 0.0 μB/f.u.
**Space group**: P3m1
**Mass density**: 13.1 g/cm3
**Volume**: 21.2 Å³ per atom
**Energy relative to the elements**: -0.2 eV per formula unit
**N(E_F)**: 3.56 states/eV/f.u.
**ΔE to the lowest computed polymorph**: 243 meV/atom

=====

[5]
First-principles (PBE-GGA) data for a relaxed structure of Hf2SeCl2, as listed in the Alexandria database. Values from VASP.

Structure (Quantum ESPRESSO input):
```
&SYSTEM
  ibrav = 0, nat = 10, ntyp = 3
/
ATOMIC_SPECIES
Hf 178.49 Hf.upf
Se 78.96 Se.upf
Cl 35.45 Cl.upf
CELL_PARAMETERS angstrom
7.5186 0.0000 0.0000
0.0000 7.5186 0.0000
0.0000 0.0000 3.2931
ATOMIC_POSITIONS crystal
Hf 0.3323 0.8323 0.0000
Hf 0.8323 0.6677 0.0000
Hf 0.6677 0.1677 0.0000
Hf 0.1677 0.3323 0.0000
Se 0.0000 0.0000 0.0000
Se 0.5000 0.5000 0.0000
Cl 0.1390 0.6390 0.5000
Cl 0.6390 0.8610 0.5000
Cl 0.8610 0.3610 0.5000
Cl 0.3610 0.1390 0.5000
```

Summary:
**Magnetic moment**: 0.0 μB/f.u.
**Space group**: P4/mbm
**Mass density**: 9.0 g/cm3
**Volume**: 18.6 Å³ per atom
**N(E_F)**: 2.55 states/eV/f.u.
**Energy relative to the elements, uncorrected**: -0.4938 eV/atom
**ΔE to the lowest computed polymorph**: 0 meV/atom

=====

[6]
First-principles (PBE-GGA) data for a relaxed structure of CdSb2Pt, as listed in the Alexandria database. Values from VASP.

Structure (Quantum ESPRESSO input):
```
&SYSTEM
  ibrav = 0, nat = 4, ntyp = 3
/
ATOMIC_SPECIES
Sb 121.76 Sb.upf
Pt 195.08 Pt.upf
Cd 112.41 Cd.upf
CELL_PARAMETERS angstrom
3.1452 0.0000 0.0000
0.0000 5.4921 0.0000
0.0000 0.0000 5.2242
ATOMIC_POSITIONS crystal
Sb 0.0000 0.0000 0.0000
Sb 0.5000 0.5000 0.0000
Pt 0.0000 0.5000 0.5000
Cd 0.5000 0.0000 0.5000
```

Summary:
**Magnetic moment**: 0.0 μB/f.u.
**Space group**: Pmmm
**Mass density**: 10.1 g/cm3
**Volume**: 22.6 Å³ per atom
**N(E_F)**: 2.71 states/eV/f.u.
**Energy relative to the elements, uncorrected**: 0.1633 eV/atom

=====

[7]
First-principles (PBE-GGA) data for a relaxed structure of Pu8SbAs5, as listed in the Alexandria database. Values from VASP.

Structure (Quantum ESPRESSO input):
```
&SYSTEM
  ibrav = 0, nat = 14, ntyp = 3
/
ATOMIC_SPECIES
Pu 244.00 Pu.upf
Sb 121.76 Sb.upf
As 74.92 As.upf
CELL_PARAMETERS angstrom
7.2458 0.0000 -2.5115
-3.6058 6.2577 -2.5786
-0.0342 0.0000 7.6686
ATOMIC_POSITIONS crystal
Pu 0.1210 0.7605 0.0313
Pu 0.9687 0.0897 0.7291
Pu 0.7621 0.2442 0.3669
Pu 0.6331 0.3952 0.8773
Pu 0.4820 0.6048 0.2379
Pu 0.6395 0.9103 0.8790
Pu 0.2709 0.2395 0.3605
Pu 0.1227 0.7558 0.5180
Sb 0.2500 0.5000 0.7500
As 0.0064 0.3803 0.1296
As 0.8704 0.8768 0.2508
As 0.7492 0.6197 0.6260
As 0.5000 0.0000 0.5000
As 0.3740 0.1232 0.9936
```

Summary:
**Magnetic moment**: 46.0 μB/f.u.
**Space group**: I-4
**Mass density**: 11.7 g/cm3
**Volume**: 24.8 Å³ per atom
**N(E_F)**: 52.22 states/eV/f.u.
**Energy relative to the elements, uncorrected**: -0.8928 eV/atom

=====

[8]
First-principles (PBE-GGA) data for a relaxed structure of SrFeRe, as listed in the Alexandria database. Values from VASP.

Structure (Quantum ESPRESSO input):
```
&SYSTEM
  ibrav = 0, nat = 3, ntyp = 3
/
ATOMIC_SPECIES
Fe 55.84 Fe.upf
Re 186.21 Re.upf
Sr 87.62 Sr.upf
CELL_PARAMETERS angstrom
-4.5964 -4.5051 -0.7502
-1.9527 -6.0759 -1.1202
-0.3220 -1.2082 2.8336
ATOMIC_POSITIONS crystal
Fe 0.9592 0.9592 0.0408
Re 0.3760 0.3760 0.6240
Sr 0.6649 0.6649 0.3351
```

Summary:
**Magnetic moment**: 0.0 μB/f.u.
**Space group**: I4mm
**Mass density**: 9.4 g/cm3
**Volume**: 19.5 Å³ per atom
**Energy relative to the elements**: 1.9 eV per formula unit
**N(E_F)**: 2.66 states/eV/f.u.
**ΔE to the lowest computed polymorph**: 40 meV/atom

=====

no.,total energy (eV per atom)
1,-5.723
2,-2.862
3,-5.967
4,-7.828
5,-5.911
6,-3.637
7,-11.037
8,-6.897